## i
A plane-wave DFT calculation with meta-GGA SCAN was carried out for a PBEsol-optimized structure of ZrRuW2.

a b c (Å): 3.166 4.410 4.634
angles (deg): 90.00 90.00 90.00
Positions (direct):
Ru 0.000 0.500 0.500
W 0.500 0.500 0.000
W 0.000 0.000 0.000
Zr 0.500 0.000 0.500

---

## ii
A plane-wave DFT calculation with meta-GGA SCAN was carried out for a PBEsol-optimized structure of ZrRuW2.

a b c (Å): 4.486 4.486 4.486
angles (deg): 60.00 60.00 60.00
Positions (direct):
W 0.250 0.250 0.250
Zr 0.500 0.500 0.500
W 0.750 0.750 0.750
Ru 0.000 0.000 0.000

---

## iii
A plane-wave DFT calculation with meta-GGA SCAN was carried out for a PBEsol-optimized structure of ZrRuW2.

a b c (Å): 3.179 3.179 6.440
angles (deg): 90.00 90.00 90.00
Positions (direct):
Ru 0.500 0.500 0.758
W 0.000 0.000 0.005
Zr 0.000 0.000 0.505
W 0.500 0.500 0.232

---

It is ii that is the least stable of them.

---

## i
A plane-wave DFT calculation with meta-GGA SCAN was carried out for a PBEsol-optimized structure of Y5Ru.

a b c (Å): 3.422 3.422 13.808
angles (deg): 90.00 90.00 90.00
Positions (direct):
Ru 0.500 0.500 0.000
Y 0.500 0.500 0.682
Y 0.500 0.500 0.318
Y 0.000 0.000 0.883
Y 0.000 0.000 0.500
Y 0.000 0.000 0.117

---

## ii
A plane-wave DFT calculation with meta-GGA SCAN was carried out for a PBEsol-optimized structure of Y5Ru.

a b c (Å): 3.505 6.256 8.282
angles (deg): 110.66 90.00 106.27
Positions (direct):
Y 0.836 0.673 0.213
Y 0.132 0.264 0.371
Y 0.868 0.736 0.629
Y 0.500 0.000 0.000
Y 0.164 0.327 0.787
Ru 0.500 0.000 0.500

---

It is i that is the least stable of them.

---

## i
A plane-wave DFT calculation with meta-GGA SCAN was carried out for a PBEsol-optimized structure of S.

a b c (Å): 9.124 13.989 17.054
angles (deg): 112.99 90.00 90.00
Positions (direct):
S 0.379 0.781 0.057
S 0.487 0.000 0.500
S 0.745 0.299 0.301
S 0.765 0.645 0.794
S 0.765 0.355 0.206
S 0.722 0.956 0.806
S 0.442 0.929 0.950
S 0.989 0.000 0.000
S 0.165 0.256 0.309
S 0.334 0.528 0.952
S 0.856 0.872 0.946
S 0.474 0.709 0.529
S 0.983 0.354 0.517
S 0.976 0.709 0.029
S 0.312 0.665 0.736
S 0.812 0.334 0.764
S 0.334 0.472 0.048
S 0.485 0.646 0.983
S 0.245 0.298 0.801
S 0.627 0.113 0.712
S 0.813 0.814 0.038
S 0.128 0.114 0.212
S 0.106 0.533 0.274
S 0.195 0.605 0.809
S 0.264 0.355 0.706
S 0.408 0.432 0.561
S 0.408 0.568 0.439
S 0.665 0.255 0.809
S 0.694 0.394 0.691
S 0.722 0.044 0.194
S 0.311 0.186 0.462
S 0.442 0.071 0.050
S 0.745 0.701 0.699
S 0.940 0.071 0.550
S 0.910 0.432 0.061
S 0.353 0.128 0.554
S 0.264 0.645 0.294
S 0.106 0.467 0.726
S 0.601 0.176 0.259
S 0.789 0.986 0.282
S 0.165 0.744 0.691
S 0.694 0.606 0.309
S 0.379 0.219 0.943
S 0.221 0.043 0.694
S 0.601 0.824 0.741
S 0.782 0.161 0.525
S 0.290 0.015 0.218
S 0.983 0.646 0.483
S 0.831 0.528 0.452
S 0.665 0.745 0.191
S 0.128 0.886 0.788
S 0.627 0.887 0.288
S 0.195 0.395 0.191
S 0.245 0.702 0.199
S 0.976 0.291 0.971
S 0.856 0.128 0.054
S 0.311 0.814 0.538
S 0.813 0.186 0.962
S 0.877 0.781 0.557
S 0.474 0.291 0.471
S 0.290 0.985 0.782
S 0.782 0.839 0.475
S 0.831 0.472 0.548
S 0.274 0.500 0.500
S 0.285 0.839 0.975
S 0.940 0.929 0.450
S 0.101 0.175 0.759
S 0.101 0.825 0.241
S 0.789 0.014 0.718
S 0.607 0.533 0.774
S 0.910 0.568 0.939
S 0.312 0.335 0.264
S 0.776 0.500 0.000
S 0.812 0.666 0.236
S 0.877 0.219 0.443
S 0.485 0.354 0.017
S 0.221 0.957 0.306
S 0.607 0.467 0.226
S 0.353 0.872 0.446
S 0.285 0.161 0.025

---

## ii
A plane-wave DFT calculation with meta-GGA SCAN was carried out for a PBEsol-optimized structure of S.

a b c (Å): 7.466 11.121 21.492
angles (deg): 90.00 90.00 90.00
Positions (direct):
S 0.151 0.497 0.157
S 0.974 0.184 0.585
S 0.963 0.204 0.737
S 0.669 0.460 0.760
S 0.836 0.573 0.411
S 0.429 0.853 0.670
S 0.831 0.540 0.260
S 0.812 0.501 0.054
S 0.526 0.816 0.085
S 0.037 0.426 0.236
S 0.026 0.684 0.915
S 0.403 0.939 0.395
S 0.571 0.353 0.830
S 0.147 0.774 0.843
S 0.503 0.788 0.439
S 0.463 0.574 0.736
S 0.495 0.565 0.938
S 0.188 0.001 0.446
S 0.037 0.704 0.763
S 0.537 0.074 0.764
S 0.036 0.408 0.083
S 0.963 0.926 0.264
S 0.353 0.226 0.343
S 0.536 0.092 0.917
S 0.349 0.503 0.657
S 0.162 0.352 0.914
S 0.088 0.782 0.106
S 0.304 0.721 0.056
S 0.428 0.575 0.332
S 0.597 0.439 0.105
S 0.412 0.218 0.606
S 0.804 0.779 0.944
S 0.664 0.427 0.911
S 0.662 0.148 0.086
S 0.929 0.647 0.330
S 0.464 0.592 0.583
S 0.338 0.648 0.414
S 0.997 0.212 0.939
S 0.474 0.316 0.415
S 0.505 0.065 0.562
S 0.331 0.960 0.740
S 0.097 0.061 0.895
S 0.964 0.908 0.417
S 0.003 0.712 0.561
S 0.196 0.279 0.556
S 0.670 0.183 0.238
S 0.838 0.852 0.586
S 0.170 0.317 0.762
S 0.072 0.425 0.832
S 0.647 0.726 0.157
S 0.164 0.073 0.089
S 0.497 0.288 0.061
S 0.071 0.147 0.170
S 0.572 0.075 0.168
S 0.336 0.927 0.589
S 0.169 0.040 0.240
S 0.928 0.925 0.668
S 0.995 0.935 0.062
S 0.853 0.274 0.657
S 0.688 0.499 0.554
S 0.330 0.683 0.262
S 0.651 0.003 0.843
S 0.537 0.796 0.237
S 0.912 0.282 0.394
S 0.005 0.435 0.438
S 0.903 0.561 0.605
S 0.312 0.999 0.946
S 0.696 0.221 0.444
S 0.588 0.718 0.894
S 0.463 0.296 0.263
S 0.849 0.997 0.343
S 0.830 0.817 0.738

---

It is ii that is the least stable of them.

---

## i
A plane-wave DFT calculation with meta-GGA SCAN was carried out for a PBEsol-optimized structure of S.

a b c (Å): 8.568 8.568 4.317
angles (deg): 90.00 90.00 90.00
Positions (direct):
S 0.695 0.305 0.552
S 0.695 0.695 0.552
S 0.500 0.776 0.328
S 0.305 0.305 0.552
S 0.500 0.224 0.328
S 0.224 0.500 0.328
S 0.305 0.695 0.552
S 0.776 0.500 0.328

---

## ii
A plane-wave DFT calculation with meta-GGA SCAN was carried out for a PBEsol-optimized structure of S.

a b c (Å): 8.582 13.200 18.365
angles (deg): 90.00 90.00 90.00
Positions (direct):
S 0.304 0.728 0.905
S 0.661 0.719 0.230
S 0.174 0.484 0.408
S 0.661 0.219 0.270
S 0.275 0.487 0.945
S 0.346 0.106 0.400
S 0.275 0.987 0.555
S 0.339 0.281 0.770
S 0.804 0.772 0.595
S 0.826 0.016 0.908
S 0.617 0.066 0.268
S 0.196 0.728 0.095
S 0.278 0.225 0.946
S 0.778 0.275 0.554
S 0.446 0.117 0.927
S 0.196 0.228 0.405
S 0.654 0.894 0.600
S 0.446 0.617 0.573
S 0.229 0.496 0.694
S 0.946 0.383 0.573
S 0.846 0.394 0.100
S 0.826 0.516 0.592
S 0.054 0.117 0.073
S 0.839 0.719 0.770
S 0.304 0.228 0.595
S 0.846 0.894 0.400
S 0.953 0.782 0.683
S 0.346 0.606 0.100
S 0.174 0.984 0.092
S 0.161 0.781 0.270
S 0.771 0.504 0.306
S 0.696 0.772 0.405
S 0.729 0.504 0.694
S 0.771 0.004 0.194
S 0.453 0.718 0.817
S 0.453 0.218 0.683
S 0.775 0.013 0.555
S 0.054 0.617 0.427
S 0.225 0.987 0.445
S 0.047 0.218 0.317
S 0.674 0.016 0.092
S 0.839 0.219 0.730
S 0.222 0.225 0.054
S 0.154 0.106 0.600
S 0.271 0.496 0.306
S 0.674 0.516 0.408
S 0.278 0.725 0.554
S 0.775 0.513 0.945
S 0.778 0.775 0.946
S 0.946 0.883 0.927
S 0.161 0.281 0.230
S 0.883 0.566 0.768
S 0.654 0.394 0.900
S 0.326 0.984 0.908
S 0.554 0.883 0.073
S 0.554 0.383 0.427
S 0.383 0.434 0.768
S 0.271 0.996 0.194
S 0.729 0.004 0.806
S 0.883 0.066 0.732
S 0.154 0.606 0.900
S 0.617 0.566 0.232
S 0.953 0.282 0.817
S 0.047 0.718 0.183
S 0.326 0.484 0.592
S 0.229 0.996 0.806
S 0.117 0.934 0.268
S 0.339 0.781 0.730
S 0.696 0.272 0.095
S 0.383 0.934 0.732
S 0.804 0.272 0.905
S 0.725 0.513 0.055
S 0.117 0.434 0.232
S 0.547 0.282 0.183
S 0.722 0.275 0.446
S 0.547 0.782 0.317
S 0.222 0.725 0.446
S 0.725 0.013 0.445
S 0.225 0.487 0.055
S 0.722 0.775 0.054

---

It is i that is the least stable of them.